Record 1
Compound: Tl2CdCu2I6
Source: Alexandria via LeMat-Bulk
Functional: PBE-GGA
Structure: relaxed

Calculated values
The uncorrected formation energy is -0.38 eV per atom. The density is 5.60 g/cm3. Its space-group type is No. 12. The value obtained for the volume is 418 Å³/f.u.

Cell lengths 8.203, 8.364, 8.227 Å; angles 117.36, 90.00, 119.36 degrees
Fractional positions:
Tl: 0.745 0.490 0.214
Tl: 0.255 0.510 0.786
Cd: 0.500 0.000 0.500
Cu: 0.953 0.906 0.799
Cu: 0.047 0.094 0.201
I: 0.749 0.497 0.641
I: 0.193 0.881 0.191
I: 0.312 0.119 0.809
I: 0.807 0.119 0.809
I: 0.688 0.881 0.191
I: 0.251 0.503 0.359

---

Record 2
Compound: Zr2CdCuI
Source: Alexandria via LeMat-Bulk
Functional: PBE-GGA
Structure: relaxed

Calculated values
As for the relative energy among the computed polymorphs: 0.0 meV per atom. The uncorrected formation energy is 0.70 eV per atom. The density is 6.09 g/cm3. Its space-group type is No. 123. The calculation puts the density of states at the Fermi level at 4.937 states/eV per cell. The value obtained for the volume is 132 Å³/f.u.

Cell lengths 5.002, 5.289, 5.002 Å; angles 90.00, 90.00, 90.00 degrees
Fractional positions:
I: 0.000 0.500 0.000
Cu: 0.000 0.000 0.000
Zr: 0.000 0.000 0.500
Zr: 0.500 0.000 0.000
Cd: 0.500 0.500 0.500

---

Record 3
Compound: Zr2CdCuI
Source: Alexandria via LeMat-Bulk
Functional: PBE-GGA
Structure: relaxed

Calculated values
As for the relative energy among the computed polymorphs: 179.4 meV per atom. The uncorrected formation energy is 0.87 eV per atom. The density is 6.03 g/cm3. Its space-group type is No. 123. The calculation puts the density of states at the Fermi level at 3.848 states/eV per cell. The value obtained for the volume is 134 Å³/f.u.

Cell lengths 5.302, 4.755, 5.302 Å; angles 90.00, 90.00, 90.00 degrees
Fractional positions:
I: 0.000 0.000 0.000
Cu: 0.000 0.500 0.000
Zr: 0.000 0.000 0.500
Zr: 0.500 0.000 0.000
Cd: 0.500 0.500 0.500

---

Record 4
Compound: CdIn3Cu8
Source: Alexandria via LeMat-Bulk
Functional: PBE-GGA
Structure: relaxed

Calculated values
As for the relative energy among the computed polymorphs: 11.6 meV per atom. The density is 8.81 g/cm3. Its space-group type is No. 156. The calculation puts the density of states at the Fermi level at 2.613 states/eV per cell. The value obtained for the volume is 182 Å³/f.u.

Cell lengths 5.084, 5.084, 8.123 Å; angles 90.00, 90.00, 120.00 degrees
Fractional positions:
Cd: 0.000 0.000 0.557
In: 0.667 0.333 0.447
In: 0.667 0.333 0.064
In: 0.000 0.000 0.931
Cu: 0.333 0.667 0.499
Cu: 0.333 0.667 0.001
Cu: 0.501 0.003 0.751
Cu: 0.501 0.499 0.751
Cu: 0.997 0.499 0.751
Cu: 0.165 0.330 0.249
Cu: 0.165 0.835 0.249
Cu: 0.670 0.835 0.249

---

Record 5
Compound: Cd4InCu
Source: Alexandria via LeMat-Bulk
Functional: PBE-GGA
Structure: relaxed

Calculated values
The density is 7.61 g/cm3. As for the raw total energy: -9.04 eV/f.u. Its space-group type is No. 216. The calculation puts the density of states at the Fermi level at 1.605 states/eV per cell. The value obtained for the volume is 137 Å³/f.u.

Cell lengths 5.786, 5.786, 5.786 Å; angles 60.00, 60.00, 60.00 degrees
Fractional positions:
Cd: 0.873 0.376 0.376
Cd: 0.376 0.376 0.873
Cd: 0.376 0.873 0.376
Cd: 0.376 0.376 0.376
In: 0.000 0.000 0.000
Cu: 0.750 0.750 0.750

---

Record 6
Compound: Cd2InCu2
Source: Alexandria via LeMat-Bulk
Functional: PBE-GGA
Structure: relaxed

Calculated values
As for the relative energy among the computed polymorphs: 170.2 meV per atom. The density is 7.69 g/cm3. Its space-group type is No. 139. The calculation puts the density of states at the Fermi level at 1.935 states/eV per cell. The value obtained for the volume is 101 Å³/f.u.

Cell lengths 4.025, 4.025, 6.842 Å; angles 72.89, 72.89, 90.00 degrees
Fractional positions:
Cd: 0.750 0.250 0.500
Cd: 0.250 0.750 0.500
Cu: 0.404 0.404 0.191
Cu: 0.596 0.596 0.809
In: 0.000 0.000 0.000

---

Record 7
Compound: CdIn6Cu6
Source: Alexandria via LeMat-Bulk
Functional: PBE-GGA
Structure: relaxed

Calculated values
The density is 8.25 g/cm3. As for the raw total energy: -41.31 eV/f.u. Its space-group type is No. 71. The calculation puts the density of states at the Fermi level at 4.428 states/eV per cell. The value obtained for the volume is 238 Å³/f.u.

Cell lengths 5.607, 7.093, 7.093 Å; angles 79.84, 66.72, 66.72 degrees
Fractional positions:
Cd: 0.000 0.000 0.000
In: 0.333 0.667 0.667
In: 0.667 0.333 0.333
In: 0.000 0.331 0.669
In: 0.000 0.669 0.331
In: 0.329 0.171 0.171
In: 0.671 0.829 0.829
Cu: 0.000 0.500 0.000
Cu: 0.500 0.500 0.000
Cu: 0.000 0.000 0.500
Cu: 0.500 0.000 0.500
Cu: 0.500 0.748 0.252
Cu: 0.500 0.252 0.748

---

Record 8
Compound: Cd2InCu
Source: Alexandria via LeMat-Bulk
Functional: PBE-GGA
Structure: relaxed

Calculated values
The density is 8.02 g/cm3. As for the raw total energy: -8.28 eV/f.u. Its space-group type is No. 166. The calculation puts the density of states at the Fermi level at 0.735 states/eV per cell. The value obtained for the volume is 83 Å³/f.u.

Cell lengths 9.658, 9.658, 9.658 Å; angles 19.00, 19.00, 19.00 degrees
Fractional positions:
Cd: 0.990 0.990 0.990
Cd: 0.510 0.510 0.510
Cu: 0.250 0.250 0.250
In: 0.750 0.750 0.750

---

Record 9
Compound: Cd2InCu
Source: Alexandria via LeMat-Bulk
Functional: PBE-GGA
Structure: relaxed

Calculated values
The density is 7.99 g/cm3. As for the raw total energy: -7.98 eV/f.u. Its space-group type is No. 47. The calculation puts the density of states at the Fermi level at 0.951 states/eV per cell. The value obtained for the volume is 84 Å³/f.u.

Cell lengths 3.170, 4.725, 5.595 Å; angles 90.00, 90.00, 90.00 degrees
Fractional positions:
Cd: 0.000 0.000 0.000
Cd: 0.500 0.500 0.000
Cu: 0.500 0.000 0.500
In: 0.000 0.500 0.500

---

Record 10
Compound: CdInCu3
Source: Alexandria via LeMat-Bulk
Functional: PBE-GGA
Structure: relaxed

Calculated values
As for the relative energy among the computed polymorphs: 741.8 meV per atom. The density is 6.10 g/cm3. Its space-group type is No. 221. The calculation puts the density of states at the Fermi level at 1.932 states/eV per cell. The value obtained for the volume is 114 Å³/f.u.

Cell lengths 4.846, 4.846, 4.846 Å; angles 90.00, 90.00, 90.00 degrees
Fractional positions:
Cd: 0.000 0.000 0.000
Cu: 0.000 0.500 0.000
Cu: 0.000 0.000 0.500
Cu: 0.500 0.000 0.000
In: 0.500 0.500 0.500

---

Record 11
Compound: CdInCu5
Source: Alexandria via LeMat-Bulk
Functional: PBE-GGA
Structure: relaxed

Calculated values
The density is 8.50 g/cm3. As for the raw total energy: -23.70 eV/f.u. Its space-group type is No. 62. The calculation puts the density of states at the Fermi level at 7.548 states/eV per cell. The value obtained for the volume is 106 Å³/f.u.

Cell lengths 5.035, 7.939, 10.657 Å; angles 90.00, 90.00, 90.00 degrees
Fractional positions:
Cd: 0.250 0.257 0.945
Cd: 0.750 0.243 0.445
Cd: 0.250 0.757 0.555
Cd: 0.750 0.743 0.055
In: 0.250 0.875 0.860
In: 0.750 0.625 0.360
In: 0.250 0.375 0.640
In: 0.750 0.125 0.140
Cu: 0.250 0.605 0.021
Cu: 0.750 0.895 0.521
Cu: 0.250 0.105 0.479
Cu: 0.750 0.395 0.979
Cu: 0.750 0.312 0.752
Cu: 0.250 0.188 0.252
Cu: 0.750 0.812 0.748
Cu: 0.250 0.688 0.248
Cu: 0.250 0.937 0.106
Cu: 0.750 0.563 0.606
Cu: 0.250 0.437 0.394
Cu: 0.750 0.063 0.894
Cu: 0.997 0.436 0.180
Cu: 0.003 0.064 0.680
Cu: 0.503 0.936 0.320
Cu: 0.497 0.564 0.820
Cu: 0.003 0.564 0.820
Cu: 0.997 0.936 0.320
Cu: 0.497 0.064 0.680
Cu: 0.503 0.436 0.180

---

Record 12
Compound: Cd2InCu
Source: Alexandria via LeMat-Bulk
Functional: PBE-GGA
Structure: relaxed

Calculated values
The density is 7.72 g/cm3. As for the raw total energy: -8.44 eV/f.u. Its space-group type is No. 44. The calculation puts the density of states at the Fermi level at 1.431 states/eV per cell. The value obtained for the volume is 87 Å³/f.u.

Cell lengths 6.957, 6.957, 6.957 Å; angles 155.59, 141.33, 46.26 degrees
Fractional positions:
Cd: 0.998 0.998 0.000
Cd: 0.314 0.814 0.500
Cu: 0.501 0.501 0.000
In: 0.687 0.187 0.500